Entry 1:
Material: SrGeP2N6
Method: DFT, PBE
State: optimized geometry

## Properties
Total DFT energy (no corrections): -6.86 eV/atom
Size of the total moment: 0.0 Bohr magnetons per cell
Density of states at the Fermi level: 17.38 states/eV per cell
E_form (uncorrected): -3.45 kcal/mol of atoms

a = 10.297 Å, b = 10.439 Å, c = 5.630 Å
α = 90.00°, β = 113.57°, γ = 90.00°
Space group C2/c (No. 15)
One atom of each set of equivalent atoms:
Sr: 0.000 0.115 0.250 [4 per cell]
Ge: 0.000 0.244 0.750 [4 per cell]
P: 0.207 0.422 0.135 [8 per cell]
N: 0.088 0.311 0.072 [8 per cell]
N: 0.129 0.122 0.729 [8 per cell]
N: 0.191 0.490 0.861 [8 per cell]

---

Entry 2:
Material: Ho5Er3In2
Method: DFT, PBE
State: optimized geometry

## Properties
Energy of formation: 0.12 eV/atom
Total DFT energy (no corrections): -4.08 eV/atom
Size of the total moment: 0.0 Bohr magnetons per cell
Density of states at the Fermi level: 48.82 states/eV per cell

a = 12.657 Å, b = 15.590 Å, c = 6.279 Å
α = 90.00°, β = 90.00°, γ = 90.00°
Space group Ibam (No. 72)
One atom of each set of equivalent atoms:
Ho: 0.000 0.000 0.250 [4 per cell]
Ho: 0.127 0.164 0.000 [8 per cell]
Ho: 0.250 0.000 0.250 [8 per cell]
Er: 0.000 0.500 0.250 [4 per cell]
Er: 0.108 0.271 0.500 [8 per cell]
In: 0.135 0.353 0.000 [8 per cell]

---

Entry 3:
Material: MnAlSbCl2
Method: DFT, PBE
State: optimized geometry

## Properties
Total DFT energy (no corrections): -4.33 eV/atom
Size of the total moment: 4.8 Bohr magnetons per cell
Density of states at the Fermi level: 1.05 states/eV per cell
E_form (uncorrected): -4.21 kcal/mol of atoms

a = 4.582 Å, b = 4.582 Å, c = 5.812 Å
α = 90.00°, β = 90.00°, γ = 90.00°
Space group P4/mmm (No. 123)
One atom of each set of equivalent atoms:
Mn: 0.000 0.000 0.000 [1 per cell]
Al: 0.500 0.500 0.500 [1 per cell]
Sb: 0.500 0.500 0.000 [1 per cell]
Cl: 0.000 0.500 0.500 [2 per cell]

---

Entry 4:
Material: Sr2Cd5Sn3
Method: DFT, PBE
State: optimized geometry

## Properties
Energy of formation: -0.27 eV/atom
Energy above the lowest structure with this stoichiometry: 66 meV per atom
Total DFT energy (no corrections): -2.26 eV/atom
Size of the total moment: 0.0 Bohr magnetons per cell
Density of states at the Fermi level: 3.45 states/eV per cell

a = 4.793 Å, b = 4.793 Å, c = 12.630 Å
α = 90.00°, β = 90.00°, γ = 90.00°
Space group P-4m2 (No. 115)
One atom of each set of equivalent atoms:
Sr: 0.000 0.500 0.242 [2 per cell]
Cd: 0.000 0.000 0.000 [1 per cell]
Cd: 0.000 0.000 0.500 [1 per cell]
Cd: 0.000 0.500 0.868 [2 per cell]
Cd: 0.500 0.500 0.000 [1 per cell]
Sn: 0.000 0.500 0.644 [2 per cell]
Sn: 0.500 0.500 0.500 [1 per cell]

---

Entry 5:
Material: Ca2LaMg9
Method: DFT, PBE
State: optimized geometry

## Properties
Energy of formation: -0.09 eV/atom
Total DFT energy (no corrections): -2.03 eV/atom
Size of the total moment: 0.0 Bohr magnetons per cell
Density of states at the Fermi level: 33.12 states/eV per cell

a = 6.1658 Å, b = 6.1658 Å, c = 29.8643 Å
α = 90.00°, β = 90.00°, γ = 120.00°
Space group R-3m (No. 166, hexagonal axes)
One atom of each set of equivalent atoms:
Ca: 0.0000 0.0000 0.1426 [6 per cell]
La: 0.0000 0.0000 0.0000 [3 per cell]
Mg: 0.0000 0.0000 0.3336 [6 per cell]
Mg: 0.0000 0.0000 0.5000 [3 per cell]
Mg: 0.0029 0.5014 0.9169 [18 per cell]

---

Entry 6:
Material: YMgCu
Method: DFT, PBE
State: optimized geometry

## Properties
Energy of formation: -0.04 eV/atom
Energy above the lowest structure with this stoichiometry: 174 meV per atom
Total DFT energy (no corrections): -4.10 eV/atom
Size of the total moment: 0.0 Bohr magnetons per cell
Density of states at the Fermi level: 16.11 states/eV per cell

a = 6.573 Å, b = 6.573 Å, c = 6.573 Å
α = 90.00°, β = 90.00°, γ = 90.00°
Space group P2_13 (No. 198)
One atom of each set of equivalent atoms:
Y: 0.165 0.335 0.665 [4 per cell]
Mg: 0.163 0.163 0.163 [4 per cell]
Cu: 0.030 0.970 0.470 [4 per cell]